The following is a PBE-GGA calculation of crystalline Ac5HoZn6 at its relaxed geometry, from the Alexandria database.

Cell and atoms, written as CIF:
```
data_Ac5HoZn6
_cell_length_a 9.4364
_cell_length_b 9.4364
_cell_length_c 5.4371
_cell_angle_alpha 106.71
_cell_angle_beta 106.71
_cell_angle_gamma 120.14
_symmetry_space_group_name_H-M 'P 1'
_symmetry_Int_Tables_number 1
_symmetry_space_group_name_Hall 'P 1'
loop_
_atom_site_label
_atom_site_fract_x
_atom_site_fract_y
_atom_site_fract_z
Ac1 0.0000 0.0000 0.0000
Ac2 0.1655 0.8345 0.5000
Ac3 0.3303 0.6697 0.0000
Ac4 0.6697 0.3303 0.0000
Ac5 0.8345 0.1655 0.5000
Ho1 0.5000 0.5000 0.5000
Zn1 0.1056 0.4218 0.2637
Zn2 0.2766 0.2766 0.7770
Zn3 0.4218 0.1056 0.2637
Zn4 0.5782 0.8944 0.7363
Zn5 0.7234 0.7234 0.2230
Zn6 0.8944 0.5782 0.7363
```

Properties
DOS at the Fermi energy: 10.07 states/eV per cell
Formation energy from the elements: -2.929 eV per formula unit
Space-group type: No. 12
E: -2.974 eV per atom